{"formula": "NiHgOsO6", "functional": "PBE with a Hubbard U", "state": "optimized geometry", "sg": "P312", "dos_ef_per_ev_atom": 0.03, "e_tot_ev_per_cell": -50.25, "cell": [[5.2380, 0.0000, -0.0001], [2.6191, 4.5362, -0.0002], [0.0001, -0.0002, 4.8066]], "species": ["O", "O", "O", "O", "O", "O", "Ni", "Hg", "Os"], "frac_coords": [[0.0226, 0.6149, 0.7196], [0.6148, 0.3625, 0.7196], [0.3625, 0.0226, 0.7196], [0.0226, 0.3625, 0.2803], [0.6149, 0.0226, 0.2803], [0.3625, 0.6149, 0.2803], [0.6666, 0.6667, 0.5000], [0.0000, 0.0000, 0.0000], [0.3333, 0.3333, 0.5000]]}